No. 1
The following is a SCAN calculation of a PBEsol-optimized structure of LaBeSi, from Alexandria.

abc: 3.9647 3.9647 4.3417
angles: 90.00 90.00 120.00
Element x y z (fractional)
La1 0.0000 0.0000 0.0000
Be1 0.3333 0.6667 0.5000
Si1 0.6667 0.3333 0.5000

Summary:
**Uncorrected formation energy**: -0.613 eV/atom
**DOS at the Fermi energy**: 0.421 states/eV/atom
**Space group**: P-6m2, No. 187
**Calculated density**: 4.9 g/cm³
**E**: -0.7266 Ha/atom

No. 2
The following is a SCAN calculation of a PBEsol-optimized structure of LaBeSi2, from Alexandria.

abc: 3.2629 3.2629 6.5305
angles: 90.00 90.00 90.00
Element x y z (fractional)
La1 0.0000 0.0000 0.0000
Be1 0.0000 0.0000 0.5000
Si1 0.5000 0.5000 0.3232
Si2 0.5000 0.5000 0.6768

Summary:
**Uncorrected formation energy**: -0.004 eV/atom
**DOS at the Fermi energy**: 0.693 states/eV/atom
**Space group**: P4/mmm, No. 123
**Calculated density**: 4.9 g/cm³
**E**: -0.6202 Ha/atom

No. 3
The following is a SCAN calculation of a PBEsol-optimized structure of LaBe2Si, from Alexandria.

abc: 4.1865 4.1865 4.0037
angles: 90.00 90.00 90.00
Element x y z (fractional)
La1 0.0000 0.0000 0.0000
Be1 0.0000 0.5000 0.5000
Be2 0.5000 0.0000 0.5000
Si1 0.5000 0.5000 0.0000

Summary:
**Uncorrected formation energy**: 0.331 eV/atom
**DOS at the Fermi energy**: 0.436 states/eV/atom
**Space group**: P4/mmm, No. 123
**Calculated density**: 4.4 g/cm³
**E**: -0.5559 Ha/atom

No. 4
The following is a SCAN calculation of a PBEsol-optimized structure of SrLa3Be, from Alexandria.

abc: 5.6935 5.6935 5.6935
angles: 90.00 90.00 90.00
Element x y z (fractional)
Sr1 0.0000 0.0000 0.0000
La1 0.0000 0.0000 0.5000
La2 0.0000 0.5000 0.0000
La3 0.5000 0.0000 0.0000
Be1 0.5000 0.5000 0.5000

Summary:
**Energy of formation**: 1364 meV/atom
**DOS at the Fermi energy**: 1.384 states/eV/atom
**Space group**: Pm-3m, No. 221
**Calculated density**: 4.6 g/cm³
**E**: -1.0960 Ha/atom

No. 5
The following is a SCAN calculation of a PBEsol-optimized structure of SrLaBe2, from Alexandria.

abc: 3.1560 3.1560 8.8821
angles: 90.00 90.00 90.00
Element x y z (fractional)
Sr1 0.0000 0.0000 0.0000
La1 0.5000 0.5000 0.6038
Be1 0.0000 0.0000 0.3529
Be2 0.5000 0.5000 0.2618

Summary:
**Energy of formation**: 489 meV/atom
**DOS at the Fermi energy**: 0.624 states/eV/atom
**Space group**: P4mm, No. 99
**Calculated density**: 4.6 g/cm³
**E**: -0.6627 Ha/atom

No. 6
The following is a SCAN calculation of a PBEsol-optimized structure of SrLaBe, from Alexandria.

abc: 4.9570 4.9570 4.9570
angles: 60.00 60.00 60.00
Element x y z (fractional)
Sr1 0.0000 0.0000 0.0000
La1 0.7500 0.7500 0.7500
Be1 0.2500 0.2500 0.2500

Summary:
**Energy of formation**: 970 meV/atom
**DOS at the Fermi energy**: 0.941 states/eV/atom
**Space group**: F-43m, No. 216
**Calculated density**: 4.5 g/cm³
**E**: -0.8186 Ha/atom

No. 7
The following is a SCAN calculation of a PBEsol-optimized structure of SrLaBe2, from Alexandria.

abc: 5.1248 5.1248 5.1248
angles: 60.00 60.00 60.00
Element x y z (fractional)
Sr1 0.0000 0.0000 0.0000
La1 0.5000 0.5000 0.5000
Be1 0.2500 0.2500 0.2500
Be2 0.7500 0.7500 0.7500

Summary:
**Energy of formation**: 376 meV/atom
**DOS at the Fermi energy**: 0.544 states/eV/atom
**Space group**: Fm-3m, No. 225
**Calculated density**: 4.3 g/cm³
**E**: -0.6668 Ha/atom

No. 8
The following is a SCAN calculation of a PBEsol-optimized structure of Sr4LaBe, from Alexandria.

abc: 7.1084 7.1084 7.1084
angles: 60.00 60.00 60.00
Element x y z (fractional)
Sr1 0.1251 0.1251 0.1251
Sr2 0.1251 0.1251 0.6247
Sr3 0.1251 0.6247 0.1251
Sr4 0.6247 0.1251 0.1251
La1 0.7500 0.7500 0.7500
Be1 0.5000 0.5000 0.5000

Summary:
**Energy of formation**: 813 meV/atom
**DOS at the Fermi energy**: 1.258 states/eV/atom
**Space group**: F-43m, No. 216
**Calculated density**: 3.3 g/cm³
**E**: -0.8066 Ha/atom